Entry 1:
CaMgMnHg2: optimized geometry, GGA-PBE.

a b c (Å): 5.208 5.208 5.812
angles (deg): 90.00 90.00 90.00
Atoms (fractional coordinates):
Ca: 0.000 0.000 0.000
Mg: 0.000 0.000 0.500
Mn: 0.500 0.500 0.000
Hg: 0.000 0.500 0.500
Hg: 0.500 0.000 0.500

Energy of formation = 0.616 eV per atom
Theoretical density = 5.48 g/cm3

Entry 2:
Pr3YAs4: optimized geometry, GGA-PBE.

a b c (Å): 7.383 7.383 4.268
angles (deg): 90.00 90.00 109.47
Atoms (fractional coordinates):
Pr: 0.000 0.000 0.000
Pr: 0.000 0.500 0.500
Pr: 0.500 0.000 0.500
Y: 0.500 0.500 0.000
As: 0.254 0.746 0.000
As: 0.257 0.257 0.500
As: 0.743 0.743 0.500
As: 0.746 0.254 0.000

Energy of formation = -1.506 eV per atom
Theoretical density = 6.14 g/cm3
Energy relative to the lowest polymorph listed for this composition = 0 meV/atom

Entry 3:
Be2CoAsPd: optimized geometry, GGA-PBE.

a b c (Å): 4.154 4.154 4.263
angles (deg): 90.00 90.00 90.00
Atoms (fractional coordinates):
Be: 0.000 0.500 0.000
Be: 0.500 0.000 0.000
Co: 0.000 0.000 0.500
As: 0.000 0.000 0.000
Pd: 0.500 0.500 0.500

Energy of formation = 0.638 eV per atom
Theoretical density = 5.83 g/cm3

Asked for E_tot across the records above, the calculation gives -2.058, -6.431, -4.242 eV/atom in order.